1.
Compound: CsYCdSe3
Source: the Alexandria database
Functional: PBE
Structure: optimized geometry

```
12
Lattice="9.5778 0.0000 0.0000 0.0000 4.3108 0.0000 -3.8032 0.0000 9.9230" Properties=species:S:1:pos:R:3 pbc="T T T"
Cs 1.1952 1.0777 2.4134
Cs 4.5794 3.2331 7.5096
Y -0.1214 3.2331 8.6106
Y 5.8960 1.0777 1.3124
Cd -1.5299 1.0777 6.0865
Cd 7.3045 3.2331 3.8366
Se -2.1197 1.0777 8.6361
Se -0.0108 3.2331 5.4815
Se 3.9830 3.2331 1.4846
Se 1.7916 1.0777 8.4385
Se 5.7854 1.0777 4.4415
Se 7.8943 3.2331 1.2869
```



2.
Compound: CsYCdSe3
Source: the Alexandria database
Functional: PBE
Structure: optimized geometry

```
12
Lattice="4.2995 0.0000 0.0000 0.0000 11.2158 0.0000 -2.1494 0.0000 8.1780" Properties=species:S:1:pos:R:3 pbc="T T T"
Cs 0.0048 2.8040 3.9968
Cs 2.1453 8.4119 4.1812
Y 2.1498 0.0000 0.0000
Y 2.1498 5.6079 0.0000
Cd 0.0001 8.4119 0.6486
Cd 2.1501 2.8040 7.5293
Se -0.0003 6.1154 1.9170
Se -0.0003 10.7083 1.9170
Se 0.0001 8.4119 7.1878
Se 2.1501 2.8040 0.9902
Se 2.1505 0.5075 6.2609
Se 2.1505 5.1004 6.2609
```



3.
Compound: CsYbCdSe3
Source: the Alexandria database
Functional: PBE
Structure: optimized geometry

```
12
Lattice="4.3271 0.0000 0.0000 0.0000 11.2484 0.0000 -2.1612 0.0000 8.1730" Properties=species:S:1:pos:R:3 pbc="T T T"
Cs 0.0053 2.8121 3.9654
Cs 2.1606 8.4363 4.2076
Yb 2.1635 0.0000 0.0000
Yb 2.1635 5.6242 0.0000
Cd -0.0001 8.4363 0.6240
Cd 2.1660 2.8121 7.5490
Se -0.0002 6.1718 1.9520
Se -0.0002 10.7007 1.9520
Se 0.0020 8.4363 7.1795
Se 2.1639 2.8121 0.9935
Se 2.1660 0.5476 6.2210
Se 2.1660 5.0765 6.2210
```



4.
Compound: Cs2ZrCdSe4
Source: the Alexandria database
Functional: PBE
Structure: optimized geometry

```
16
Lattice="0.0000 7.5562 13.1005 3.2108 0.0000 13.1005 3.2108 7.5562 0.0000" Properties=species:S:1:pos:R:3 pbc="T T T"
Cs 2.4081 5.6672 1.4229
Cs 4.0135 9.4453 7.9732
Cs 2.4081 5.6672 18.2279
Cs 4.0135 9.4453 24.7781
Zr 0.8027 1.8891 3.2751
Zr 5.6189 13.2234 22.9259
Cd 2.4081 5.6672 9.8254
Cd 4.0135 9.4453 16.3757
Se 2.2935 3.3858 4.7132
Se 4.1281 7.1639 11.2635
Se 2.5227 7.9485 4.7132
Se 2.5227 3.3858 14.9376
Se 3.8989 11.7266 11.2635
Se 3.8989 7.1639 21.4879
Se 2.2935 7.9485 14.9376
Se 4.1281 11.7266 21.4879
```



5.
Compound: Cs2Cd2Si
Source: the Alexandria database
Functional: PBE
Structure: optimized geometry

energy above the most stable polymorph in this dataset = 0.017 eV per atom

```
10
Lattice="7.6144 0.0000 0.0000 0.0000 7.6144 0.0000 0.0000 0.0000 7.7223" Properties=species:S:1:pos:R:3 pbc="T T T"
Cs 0.0000 3.8072 1.9306
Cs 0.0000 3.8072 5.7917
Cs 3.8072 0.0000 1.9306
Cs 3.8072 0.0000 5.7917
Cd 0.0000 0.0000 1.3807
Cd 0.0000 0.0000 6.3416
Cd 3.8072 3.8072 2.4805
Cd 3.8072 3.8072 5.2418
Si 0.0000 0.0000 3.8611
Si 3.8072 3.8072 0.0000
```



6.
Compound: Cs2CdSi
Source: the Alexandria database
Functional: PBE
Structure: optimized geometry

```
16
Lattice="5.3207 0.0000 0.0000 0.0000 5.3207 0.0000 0.0000 0.0000 25.0121" Properties=species:S:1:pos:R:3 pbc="T T T"
Cs 1.3248 1.3302 3.1265
Cs 1.3302 3.9852 9.3795
Cs 1.3302 3.9959 21.8856
Cs 1.3356 1.3302 15.6325
Cs 3.9852 3.9906 15.6325
Cs 3.9906 1.3248 21.8856
Cs 3.9906 1.3356 9.3795
Cs 3.9959 3.9906 3.1265
Cd 0.0000 0.0000 12.5060
Cd 0.0000 2.6604 18.7591
Cd 2.6604 0.0000 6.2530
Cd 2.6604 2.6604 0.0000
Si 0.0000 0.0000 0.0000
Si 0.0000 2.6604 6.2530
Si 2.6604 0.0000 18.7591
Si 2.6604 2.6604 12.5060
```



7.
Compound: Cs2Cd2Si
Source: the Alexandria database
Functional: PBE
Structure: optimized geometry

energy above the most stable polymorph in this dataset = 0.148 eV per atom

```
10
Lattice="4.1739 0.0000 0.0000 0.0000 4.1739 0.0000 0.0000 0.0000 23.8717" Properties=species:S:1:pos:R:3 pbc="T T T"
Cs 0.0000 0.0000 2.2775
Cs 0.0000 0.0000 21.5942
Cs 2.0869 2.0869 9.6583
Cs 2.0869 2.0869 14.2133
Cd 0.0000 2.0869 5.9679
Cd 0.0000 2.0869 17.9038
Cd 2.0869 0.0000 5.9679
Cd 2.0869 0.0000 17.9038
Si 0.0000 0.0000 11.9358
Si 2.0869 2.0869 0.0000
```



8.
Compound: Cs2CdSi2
Source: the Alexandria database
Functional: PBE
Structure: optimized geometry

```
10
Lattice="9.2148 0.0000 0.0000 0.0000 9.2148 0.0000 0.0000 0.0000 5.3079" Properties=species:S:1:pos:R:3 pbc="T T T"
Cs 1.8723 2.7351 0.0000
Cs 2.7351 7.3425 0.0000
Cs 6.4797 1.8723 0.0000
Cs 7.3425 6.4797 0.0000
Cd 0.0000 0.0000 2.6540
Cd 4.6074 4.6074 2.6540
Si 0.7622 5.3697 2.6540
Si 3.8452 0.7622 2.6540
Si 5.3697 8.4526 2.6540
Si 8.4526 3.8452 2.6540
```



9.
Compound: CsCd3Si
Source: the Alexandria database
Functional: PBE
Structure: optimized geometry

energy above the most stable polymorph in this dataset = 0.896 eV per atom

```
5
Lattice="7.1628 0.0000 0.0000 0.0000 7.1628 0.0000 0.0000 0.0000 7.1628" Properties=species:S:1:pos:R:3 pbc="T T T"
Cs 0.0000 0.0000 0.0000
Cd 0.0000 0.0000 3.5814
Cd 0.0000 3.5814 0.0000
Cd 3.5814 0.0000 0.0000
Si 3.5814 3.5814 3.5814
```



10.
Compound: CsCdSi
Source: the Alexandria database
Functional: PBE
Structure: optimized geometry

energy above the most stable polymorph in this dataset = 0.000 eV per atom

```
6
Lattice="3.8947 0.0000 0.0000 -0.0394 7.1784 0.0000 -1.9448 -0.8093 7.3025" Properties=species:S:1:pos:R:3 pbc="T T T"
Cs -0.0061 2.5527 1.7957
Cs 1.9166 3.8164 5.5068
Cd -0.0179 0.0018 6.0616
Cd 1.9284 6.3673 1.2409
Si -0.0389 6.0690 3.3716
Si 1.9494 0.3001 3.9309
```



11.
Compound: CsCdSi3
Source: the Alexandria database
Functional: PBE
Structure: optimized geometry

energy above the most stable polymorph in this dataset = 0.000 eV per atom

```
5
Lattice="5.3118 0.0000 0.0000 0.0000 5.3118 0.0000 0.0000 0.0000 5.3118" Properties=species:S:1:pos:R:3 pbc="T T T"
Cs 0.0000 0.0000 0.0000
Cd 2.6559 2.6559 2.6559
Si 0.0000 2.6559 2.6559
Si 2.6559 0.0000 2.6559
Si 2.6559 2.6559 0.0000
```



12.
Compound: CsCdSi3
Source: the Alexandria database
Functional: PBE
Structure: optimized geometry

energy above the most stable polymorph in this dataset = 1.172 eV per atom

```
5
Lattice="5.6339 0.0000 0.0000 0.0000 5.6339 0.0000 0.0000 0.0000 5.6339" Properties=species:S:1:pos:R:3 pbc="T T T"
Cs 0.0000 0.0000 0.0000
Cd 2.8169 2.8169 2.8169
Si 0.0000 0.0000 2.8169
Si 0.0000 2.8169 0.0000
Si 2.8169 0.0000 0.0000
```



Uncorrected formation energy for every record listed, in sequence, given in eV per atom: -1.36; -1.38; -1.11; -1.19; 0.20; 0.65; 0.33; 0.25; 1.12; 0.08; 1.00; 2.17.
VASP energy for every record listed, in sequence, given in eV for the cell shown: -53.72; -53.88; -40.86; -69.27; -15.92; -21.72; -14.61; -24.45; -3.40; -13.92; -13.04; -7.18.